# 1
Entry from Alexandria via LeMat-Bulk: a relaxed PmGdNiAg crystal (GGA-PBE).

Cell and atoms, written as POSCAR:
```
PmGdNiAg
1.0
-0.192 -4.278 -2.715
-2.083 -4.173 1.989
-4.447 -1.695 -1.749
Ag Gd Pm Ni
1 1 1 1
direct
0.250 0.250 0.250 Ag
0.500 0.500 0.500 Gd
0.000 0.000 0.000 Pm
0.750 0.750 0.750 Ni
```

**E_tot**: -7.115 eV per atom


# 2
Entry from Alexandria via LeMat-Bulk: a relaxed PrGdNiAg crystal (GGA-PBE).

Cell and atoms, written as POSCAR:
```
PrGdNiAg
1.0
-4.336 -0.604 2.626
-0.681 -4.159 2.880
0.024 0.388 5.090
Ag Ni Pr Gd
1 1 1 1
direct
0.250 0.250 0.250 Ag
0.750 0.750 0.750 Ni
0.500 0.500 0.500 Pr
0.000 0.000 0.000 Gd
```

**E_tot**: -7.101 eV per atom


# 3
Entry from Alexandria via LeMat-Bulk: a relaxed GdPuNiAg crystal (GGA-PBE).

Cell and atoms, written as POSCAR:
```
GdPuNiAg
1.0
-4.190 -1.771 -2.126
-3.409 -2.406 2.793
-4.422 2.167 0.982
Ni Gd Pu Ag
1 1 1 1
direct
0.250 0.250 0.250 Ni
0.500 0.500 0.500 Gd
0.000 0.000 0.000 Pu
0.750 0.750 0.750 Ag
```

**E_tot**: -9.298 eV per atom


# 4
Entry from Alexandria via LeMat-Bulk: a relaxed GdNiAgSn crystal (GGA-PBE).

Cell and atoms, written as POSCAR:
```
GdNiAgSn
1.0
-3.876 0.179 2.853
-2.985 -3.772 0.247
-0.172 -2.677 4.000
Ni Gd Ag Sn
1 1 1 1
direct
0.500 0.500 0.500 Ni
0.750 0.750 0.750 Gd
0.000 0.000 0.000 Ag
0.250 0.250 0.250 Sn
```

**E_tot**: -7.036 eV per atom


Q: Among the records above, which one has the lowest E_tot?
A: GdPuNiAg


Q: E_tot of number 3 (GdPuNiAg)?
A: -9.298 eV per atom


Q: E_tot of number 3 (GdPuNiAg)?
A: -9.298 eV per atom